An optimized crystal structure of Be2TlIn, computed with PBE-GGA.

## Properties
Volume   77.2 Å³ per cell
Energy relative to the elements   779 meV/atom
SG   Cmmm
E above lowest polymorph   355 meV/atom
Magnetization   0.00 μB per cell

Cell: 3.3110 3.3110 7.8896 Å, 90.00 90.00 116.76°
Positions (direct):
Be1 0.0000 0.0000 0.0052
Be2 0.0000 0.0000 0.4948
Tl1 0.5000 0.5000 0.7500
In1 0.5000 0.5000 0.2500